Record 1
AcTbZr (GGA-PBE, optimized geometry); energy of formation = 0.22 eV per atom; polymorph energy (0 for the lowest one) = 147 meV/atom
1.0
-2.638 -2.377 0.530
3.421 -1.089 -0.015
0.471 1.365 8.458
Ac Tb Zr
1 1 1
Direct
0.000 0.000 0.016
0.333 0.667 0.643
0.667 0.333 0.341

=====

Record 2
AcTbZr (GGA-PBE, optimized geometry); energy of formation = 0.07 eV per atom; polymorph energy (0 for the lowest one) = 0 meV/atom
1.0
-1.499 3.571 -0.137
-1.843 -0.899 -3.288
-10.479 -4.131 7.002
Ac Tb Zr
2 2 2
Direct
0.000 0.500 0.609
0.500 0.000 0.391
0.500 0.000 0.807
0.000 0.500 0.193
0.000 0.500 0.952
0.500 0.000 0.048

=====

Record 3
AcTbZr (GGA-PBE, optimized geometry); energy of formation = 0.19 eV per atom; polymorph energy (0 for the lowest one) = 112 meV/atom
1.0
-1.314 -3.231 0.571
1.186 0.106 3.328
-6.626 4.688 0.335
Ac Tb Zr
1 1 1
Direct
0.991 0.991 0.982
0.684 0.684 0.368
0.325 0.325 0.651

=====

Record 4
Ac2TbZr (GGA-PBE, optimized geometry); energy of formation = 0.46 eV per atom
1.0
-1.642 -2.074 -2.449
0.964 -3.453 -0.376
-8.807 -5.170 7.629
Ac Tb Zr
2 1 1
Direct
0.085 0.085 0.745
0.915 0.915 0.255
0.500 0.500 0.500
0.000 0.000 0.000

=====

Record 5
AcTbZr2 (GGA-PBE, optimized geometry); energy of formation = 0.41 eV per atom
1.0
3.389 0.000 0.000
1.694 2.935 0.000
1.694 0.978 11.921
Ac Tb Zr
1 1 2
Direct
0.000 0.000 0.000
0.500 0.500 0.500
0.092 0.092 0.725
0.908 0.908 0.275

=====

Record 6
AcTc2 (GGA-PBE, optimized geometry); energy of formation = 0.32 eV per atom
1.0
-1.361 -4.592 2.956
2.850 -1.280 4.681
-2.471 0.521 5.030
Ac Tc
2 4
Direct
0.000 0.000 0.000
0.250 0.250 0.250
0.125 0.625 0.625
0.625 0.125 0.625
0.625 0.625 0.625
0.625 0.625 0.125

=====

no.,calculated total energy (eV/cell)
1,-16.6
2,-34.1
3,-16.7
4,-19.6
5,-24.2
6,-47.8